A plane-wave DFT calculation with GGA-PBE was carried out for Pm3Er2Se8 after structural relaxation.

a = 7.099 Å, b = 8.332 Å, c = 8.335 Å
α = 119.99°, β = 107.19°, γ = 90.00°
Positions (direct):
1 Se 0.068 0.877 0.755
2 Se 0.890 0.619 0.238
3 Se 0.110 0.381 0.762
4 Se 0.582 0.111 0.744
5 Se 0.932 0.123 0.245
6 Se 0.418 0.889 0.256
7 Se 0.582 0.633 0.744
8 Se 0.418 0.367 0.256
9 Pm 0.500 0.000 0.000
10 Pm 0.000 0.263 0.000
11 Pm 0.000 0.737 0.000
12 Er 0.660 0.743 0.485
13 Er 0.340 0.257 0.515

Output
theoretical density = 5.8 g/cm³
symmetry = No. 12
formation energy (no corrections) = -1668 meV per atom